The following is a PBE+U calculation of crystalline NbFe3Co2P6O24 at its relaxed geometry, from the Alexandria database.

Cell and atoms, written as extended XYZ:
```
36
Lattice="-3.981 -4.202 -6.328 0.812 -8.522 -0.524 -6.737 -4.968 1.866" Properties=species:S:1:pos:R:3 pbc="T T T"
Nb -8.493 -15.168 -4.275
Fe -3.529 -6.303 -1.776
Fe -1.442 -2.575 -0.726
Fe -6.375 -11.385 -3.209
Co -0.047 -0.084 -0.024
Co -4.961 -8.860 -2.497
P -1.493 -8.482 -3.145
P -5.960 -5.764 -3.914
P -4.853 -7.731 0.865
P -5.090 -9.886 -5.859
P -3.875 -11.904 -1.111
P -8.384 -9.195 -1.764
O -5.333 -12.900 -3.859
O -7.732 -11.346 -4.609
O -7.404 -12.311 -1.835
O -0.696 -9.133 -1.987
O -8.464 -14.486 -2.457
O -2.919 -8.107 -2.684
O -5.300 -5.619 -5.309
O -5.163 -6.752 -3.034
O -0.882 -4.220 0.123
O -4.578 -7.750 -0.655
O -3.751 -10.720 -6.133
O -3.344 -2.696 -0.395
O -6.585 -14.946 -4.558
O -6.163 -6.963 1.175
O -5.345 -9.969 -4.330
O -8.970 -13.464 -5.075
O -4.763 -10.961 -1.966
O -4.613 -12.050 0.303
O -6.994 -9.614 -2.313
O -1.418 -3.162 -2.569
O -9.180 -8.563 -3.001
O -2.525 -5.375 -3.160
O -2.160 -6.358 -0.396
O -4.575 -4.806 -1.106
```

* volume: 12.61 Å³ per atom
* uncorrected energy: -7.217 eV/atom